1.
! CeSmAgS4 PBE-GGA optimized geometry; values from VASP
&SYSTEM
  ibrav = 0, nat = 14, ntyp = 4
/
ATOMIC_SPECIES
Ce 140.12 Ce.upf
Sm 150.36 Sm.upf
Ag 107.87 Ag.upf
S 32.06 S.upf
ATOMIC_POSITIONS crystal
Ce 0.000 0.000 0.000
Ce 0.500 0.000 0.500
Sm 0.500 0.000 0.000
Sm 0.500 0.500 0.500
Ag 0.121 0.371 0.750
Ag 0.879 0.629 0.250
S 0.251 0.239 0.012
S 0.254 0.234 0.481
S 0.254 0.773 0.019
S 0.273 0.761 0.512
S 0.727 0.239 0.488
S 0.746 0.227 0.981
S 0.746 0.766 0.519
S 0.749 0.761 0.988
CELL_PARAMETERS angstrom
-4.017 4.087 5.698
4.017 -4.087 5.698
4.017 4.087 -5.698
! Size of the total moment = 0.00 μB/cell
! ρ = 4.7 Mg/m³
! Uncorrected formation energy = -1.4846 eV per atom



2.
! VCoNiRu PBE-GGA optimized geometry; values from VASP
&SYSTEM
  ibrav = 0, nat = 4, ntyp = 4
/
ATOMIC_SPECIES
V 50.94 V.upf
Co 58.93 Co.upf
Ni 58.69 Ni.upf
Ru 101.07 Ru.upf
ATOMIC_POSITIONS crystal
V 0.000 0.000 0.000
Co 0.500 0.000 0.500
Ni 0.000 0.500 0.500
Ru 0.500 0.500 0.000
CELL_PARAMETERS angstrom
3.579 0.000 0.000
0.000 3.623 0.000
0.000 0.000 3.720
! ΔE to the lowest computed polymorph = 0.000 eV/atom
! Size of the total moment = 0.89 μB/cell
! ρ = 9.3 Mg/m³



3.
! NaVAu2I PBE-GGA optimized geometry; values from VASP
&SYSTEM
  ibrav = 0, nat = 5, ntyp = 4
/
ATOMIC_SPECIES
Na 22.99 Na.upf
V 50.94 V.upf
Au 196.97 Au.upf
I 126.90 I.upf
ATOMIC_POSITIONS crystal
Na 0.000 0.000 0.000
V 0.500 0.500 0.500
Au 0.000 0.500 0.000
Au 0.500 0.000 0.000
I 0.000 0.000 0.500
CELL_PARAMETERS angstrom
5.046 0.000 0.000
0.000 5.046 0.000
0.000 0.000 5.582
! ΔE to the lowest computed polymorph = 0.077 eV/atom
! Size of the total moment = 3.30 μB/cell
! ρ = 6.9 Mg/m³
! Uncorrected formation energy = 0.8706 eV per atom



4.
! PrYHo2Te6 PBE-GGA optimized geometry; values from VASP
&SYSTEM
  ibrav = 0, nat = 10, ntyp = 4
/
ATOMIC_SPECIES
Pr 140.91 Pr.upf
Y 88.91 Y.upf
Ho 164.93 Ho.upf
Te 127.60 Te.upf
ATOMIC_POSITIONS crystal
Pr 0.000 0.000 0.000
Y 0.496 0.496 0.496
Ho 0.309 0.309 0.309
Ho 0.811 0.811 0.811
Te 0.085 0.698 0.422
Te 0.213 0.581 0.907
Te 0.422 0.085 0.698
Te 0.581 0.907 0.213
Te 0.698 0.422 0.085
Te 0.907 0.213 0.581
CELL_PARAMETERS angstrom
3.886 2.243 7.047
-3.886 2.243 7.047
0.000 -4.487 7.047
! Size of the total moment = 0.00 μB/cell
! ρ = 6.0 Mg/m³
! Uncorrected formation energy = -1.3664 eV per atom



5.
! SrLa2Tl9 PBE-GGA optimized geometry; values from VASP
&SYSTEM
  ibrav = 0, nat = 12, ntyp = 3
/
ATOMIC_SPECIES
Sr 87.62 Sr.upf
La 138.91 La.upf
Tl 204.38 Tl.upf
ATOMIC_POSITIONS crystal
Sr 0.000 0.000 0.000
La 0.000 0.000 0.337
La 0.000 0.000 0.663
Tl 0.000 0.500 0.170
Tl 0.000 0.500 0.500
Tl 0.000 0.500 0.830
Tl 0.500 0.000 0.170
Tl 0.500 0.000 0.500
Tl 0.500 0.000 0.830
Tl 0.500 0.500 0.000
Tl 0.500 0.500 0.334
Tl 0.500 0.500 0.666
CELL_PARAMETERS angstrom
4.916 0.000 0.000
0.000 4.916 0.000
0.000 0.000 14.804
! Uncorrected energy = -36.703 eV/cell
! Size of the total moment = 0.00 μB/cell
! ρ = 10.2 Mg/m³



6.
! Ti2AgBr PBE-GGA optimized geometry; values from VASP
&SYSTEM
  ibrav = 0, nat = 4, ntyp = 3
/
ATOMIC_SPECIES
Ti 47.87 Ti.upf
Ag 107.87 Ag.upf
Br 79.90 Br.upf
ATOMIC_POSITIONS crystal
Ti 0.250 0.250 0.250
Ti 0.750 0.750 0.750
Ag 0.000 0.000 0.000
Br 0.500 0.500 0.500
CELL_PARAMETERS angstrom
0.000 3.289 3.289
3.289 0.000 3.289
3.289 3.289 0.000
! ΔE to the lowest computed polymorph = 0.000 eV/atom
! Size of the total moment = 0.00 μB/cell
! ρ = 6.6 Mg/m³
! Uncorrected formation energy = 0.2504 eV per atom